Entry 1:
Computed, not measured: a relaxed Sr3Ac2PaSb6 crystal at the PBE-GGA level of DFT.

Computed properties:
- Crystal system: monoclinic
- E_form (uncorrected): -0.953 eV per atom
- SG: C2/m (12)
- Magnetization: 0.0 μB per formula unit

Unit cell a=8.206 b=8.206 c=8.129 alpha=99.79 beta=99.79 gamma=120.17
Fractional positions:
1 Sr 0.000 0.000 0.000
2 Sr 0.325 0.675 0.000
3 Sr 0.675 0.325 0.000
4 Ac 0.165 0.835 0.500
5 Ac 0.835 0.165 0.500
6 Pa 0.500 0.500 0.500
7 Sb 0.112 0.423 0.267
8 Sb 0.271 0.271 0.737
9 Sb 0.423 0.112 0.267
10 Sb 0.577 0.888 0.733
11 Sb 0.729 0.729 0.263
12 Sb 0.888 0.577 0.733

---

Entry 2:
Computed, not measured: a relaxed KBa2Y crystal at the PBE-GGA level of DFT.

Computed properties:
- Crystal system: orthorhombic
- Energy of formation from the pure elements: 374 meV/atom
- SG: Pmmm (47)
- Magnetization: 0.0 μB per formula unit
- Distance to the lowest polymorph of the same formula: 0.171 eV per atom

Unit cell a=4.542 b=6.602 c=6.916 alpha=90.00 beta=90.00 gamma=90.00
Fractional positions:
1 K 0.000 0.000 0.000
2 Ba 0.000 0.500 0.500
3 Ba 0.500 0.500 0.000
4 Y 0.500 0.000 0.500

---

Entry 3:
Computed, not measured: a relaxed YIr2Pt2 crystal at the PBE-GGA level of DFT.

Computed properties:
- Crystal system: tetragonal
- Energy of formation from the pure elements: -357 meV/atom
- SG: I4/mmm (139)
- Magnetization: 0.0 μB per formula unit
- Distance to the lowest polymorph of the same formula: 0.000 eV per atom

Unit cell a=3.962 b=3.962 c=11.939 alpha=90.00 beta=90.00 gamma=90.00
Fractional positions:
1 Y 0.000 0.000 0.000
2 Y 0.500 0.500 0.500
3 Ir 0.000 0.000 0.402
4 Ir 0.000 0.000 0.598
5 Ir 0.500 0.500 0.098
6 Ir 0.500 0.500 0.902
7 Pt 0.000 0.500 0.250
8 Pt 0.000 0.500 0.750
9 Pt 0.500 0.000 0.250
10 Pt 0.500 0.000 0.750

---

Entry 4:
Computed, not measured: a relaxed FeCoPdPt crystal at the PBE-GGA level of DFT.

Computed properties:
- Crystal system: tetragonal
- Energy of formation from the pure elements: -108 meV/atom
- SG: I-4m2 (119)
- Magnetization: 5.7 μB per formula unit

Unit cell a=3.829 b=3.829 c=7.488 alpha=90.00 beta=90.00 gamma=90.00
Fractional positions:
1 Fe 0.000 0.000 0.000
2 Fe 0.500 0.500 0.500
3 Co 0.000 0.000 0.500
4 Co 0.500 0.500 0.000
5 Pd 0.000 0.500 0.250
6 Pd 0.500 0.000 0.750
7 Pt 0.000 0.500 0.750
8 Pt 0.500 0.000 0.250

---

Entry 5:
Computed, not measured: a relaxed Tb2InBr2 crystal at the PBE-GGA level of DFT.

Computed properties:
- Crystal system: trigonal
- E_form (uncorrected): -1.169 eV per atom
- SG: R-3m (166)
- Magnetization: 0.0 μB per formula unit

Unit cell a=3.985 b=3.985 c=34.980 alpha=90.00 beta=90.00 gamma=120.00
Fractional positions:
1 Tb 0.000 0.000 0.106
2 Tb 0.000 0.000 0.894
3 Tb 0.333 0.667 0.560
4 Tb 0.333 0.667 0.773
5 Tb 0.667 0.333 0.227
6 Tb 0.667 0.333 0.440
7 In 0.000 0.000 0.500
8 In 0.333 0.667 0.167
9 In 0.667 0.333 0.833
10 Br 0.000 0.000 0.279
11 Br 0.000 0.000 0.721
12 Br 0.333 0.667 0.388
13 Br 0.333 0.667 0.945
14 Br 0.667 0.333 0.055
15 Br 0.667 0.333 0.612

---

Entry 6:
Computed, not measured: a relaxed Cs2TeH2 crystal at the PBE-GGA level of DFT.

Computed properties:
- Crystal system: tetragonal
- SG: P4/mbm (127)
- Magnetization: 0.0 μB per formula unit
- Distance to the lowest polymorph of the same formula: 0.701 eV per atom

Unit cell a=9.039 b=9.039 c=3.635 alpha=90.00 beta=90.00 gamma=90.00
Fractional positions:
1 Cs 0.157 0.343 0.000
2 Cs 0.343 0.843 0.000
3 Cs 0.657 0.157 0.000
4 Cs 0.843 0.657 0.000
5 Te 0.000 0.000 0.500
6 Te 0.500 0.500 0.500
7 H 0.141 0.641 0.500
8 H 0.359 0.141 0.500
9 H 0.641 0.859 0.500
10 H 0.859 0.359 0.500

---

Entry 7:
Computed, not measured: a relaxed V5Tc4W crystal at the PBE-GGA level of DFT.

Computed properties:
- Crystal system: tetragonal
- Energy of formation from the pure elements: -312 meV/atom
- SG: P4/mmm (123)
- Magnetization: 0.0 μB per formula unit

Unit cell a=3.037 b=3.037 c=15.223 alpha=90.00 beta=90.00 gamma=90.00
Fractional positions:
1 V 0.000 0.000 0.000
2 V 0.000 0.000 0.198
3 V 0.000 0.000 0.397
4 V 0.000 0.000 0.603
5 V 0.000 0.000 0.802
6 Tc 0.500 0.500 0.099
7 Tc 0.500 0.500 0.298
8 Tc 0.500 0.500 0.702
9 Tc 0.500 0.500 0.901
10 W 0.500 0.500 0.500

---

Entry 8:
Computed, not measured: a relaxed MgScTc2 crystal at the PBE-GGA level of DFT.

Computed properties:
- Crystal system: tetragonal
- Energy of formation from the pure elements: -88 meV/atom
- SG: P4mm (99)
- Magnetization: 0.0 μB per formula unit

Unit cell a=3.103 b=3.103 c=7.329 alpha=90.00 beta=90.00 gamma=90.00
Fractional positions:
1 Mg 0.000 0.000 0.000
2 Sc 0.500 0.500 0.323
3 Tc 0.000 0.000 0.566
4 Tc 0.500 0.500 0.761

---

Entry 9:
Computed, not measured: a relaxed TaAlRu2 crystal at the PBE-GGA level of DFT.

Computed properties:
- Crystal system: tetragonal
- Energy of formation from the pure elements: -272 meV/atom
- SG: P4mm (99)
- Magnetization: 0.0 μB per formula unit

Unit cell a=3.340 b=3.340 c=5.601 alpha=90.00 beta=90.00 gamma=90.00
Fractional positions:
1 Ta 0.000 0.000 0.000
2 Al 0.500 0.500 0.293
3 Ru 0.000 0.000 0.453
4 Ru 0.500 0.500 0.799

---

Entry 10:
Computed, not measured: a relaxed DyZn5 crystal at the PBE-GGA level of DFT.

Computed properties:
- Crystal system: orthorhombic
- Energy of formation from the pure elements: -164 meV/atom
- SG: Cmmm (65)
- Magnetization: 0.0 μB per formula unit

Unit cell a=4.260 b=11.438 c=4.368 alpha=90.00 beta=90.00 gamma=90.00
Fractional positions:
1 Dy 0.000 0.000 0.000
2 Dy 0.500 0.500 0.000
3 Zn 0.000 0.173 0.500
4 Zn 0.000 0.315 0.000
5 Zn 0.000 0.500 0.500
6 Zn 0.000 0.685 0.000
7 Zn 0.000 0.827 0.500
8 Zn 0.500 0.000 0.500
9 Zn 0.500 0.185 0.000
10 Zn 0.500 0.327 0.500
11 Zn 0.500 0.673 0.500
12 Zn 0.500 0.815 0.000

---

Entry 11:
Computed, not measured: a relaxed Mg2AlNi5B2 crystal at the PBE-GGA level of DFT.

Computed properties:
- Crystal system: tetragonal
- Energy of formation from the pure elements: -402 meV/atom
- SG: P4/mbm (127)
- Magnetization: 0.0 μB per formula unit

Unit cell a=8.773 b=8.773 c=2.916 alpha=90.00 beta=90.00 gamma=90.00
Fractional positions:
1 Mg 0.177 0.323 0.000
2 Mg 0.323 0.823 0.000
3 Mg 0.677 0.177 0.000
4 Mg 0.823 0.677 0.000
5 Al 0.000 0.000 0.000
6 Al 0.500 0.500 0.000
7 Ni 0.000 0.500 0.500
8 Ni 0.069 0.777 0.500
9 Ni 0.223 0.069 0.500
10 Ni 0.277 0.569 0.500
11 Ni 0.431 0.277 0.500
12 Ni 0.500 0.000 0.500
13 Ni 0.569 0.723 0.500
14 Ni 0.723 0.431 0.500
15 Ni 0.777 0.931 0.500
16 Ni 0.931 0.223 0.500
17 B 0.121 0.621 0.000
18 B 0.379 0.121 0.000
19 B 0.621 0.879 0.000
20 B 0.879 0.379 0.000

---

Entry 12:
Computed, not measured: a relaxed NaY3Fe crystal at the PBE-GGA level of DFT.

Computed properties:
- Crystal system: cubic
- Energy of formation from the pure elements: 145 meV/atom
- SG: Pm-3m (221)
- Magnetization: 0.0 μB per formula unit
- Distance to the lowest polymorph of the same formula: 0.000 eV per atom

Unit cell a=5.309 b=5.309 c=5.309 alpha=90.00 beta=90.00 gamma=90.00
Fractional positions:
1 Na 0.000 0.000 0.000
2 Y 0.000 0.500 0.500
3 Y 0.500 0.000 0.500
4 Y 0.500 0.500 0.000
5 Fe 0.500 0.500 0.500